Record 1
A plane-wave DFT calculation with PBE was carried out for an optimized crystal structure of Zr3Zn5.

a b c (Å): 3.0479 3.0479 15.3163
angles (deg): 90.00 90.00 90.00
Element x y z (fractional)
Zr 0.0000 0.0000 0.0000
Zr 0.0000 0.0000 0.4773
Zr 0.5000 0.5000 0.8453
Zn 0.0000 0.0000 0.2407
Zn 0.0000 0.0000 0.7094
Zn 0.5000 0.5000 0.1354
Zn 0.5000 0.5000 0.3458
Zn 0.5000 0.5000 0.6072

Values from the calculation:
Its formation energy is -16.6 kJ/mol of atoms. The distance to the lowest polymorph of the same formula comes out at 90 meV per atom. The total energy is -4.17 eV/atom.


Record 2
A plane-wave DFT calculation with PBE was carried out for an optimized crystal structure of Zr2Zn3.

a b c (Å): 6.5631 6.5631 4.2204
angles (deg): 90.00 90.00 90.00
Element x y z (fractional)
Zr 0.1703 0.3297 0.0000
Zr 0.3297 0.8297 0.0000
Zr 0.6703 0.1703 0.0000
Zr 0.8297 0.6703 0.0000
Zn 0.0000 0.0000 0.5000
Zn 0.1338 0.6338 0.5000
Zn 0.3662 0.1338 0.5000
Zn 0.5000 0.5000 0.5000
Zn 0.6338 0.8662 0.5000
Zn 0.8662 0.3662 0.5000

Values from the calculation:
Its formation energy is -25.3 kJ/mol of atoms. The total energy is -4.45 eV/atom.


Record 3
A plane-wave DFT calculation with PBE was carried out for an optimized crystal structure of Zr2Zn3.

a b c (Å): 13.1455 13.1455 4.2902
angles (deg): 90.00 90.00 165.86
Element x y z (fractional)
Zr 0.0727 0.9273 0.7500
Zr 0.2155 0.7845 0.2500
Zr 0.7845 0.2155 0.7500
Zr 0.9273 0.0727 0.2500
Zn 0.3282 0.6718 0.2500
Zn 0.3806 0.6194 0.7500
Zn 0.4763 0.5237 0.7500
Zn 0.5237 0.4763 0.2500
Zn 0.6194 0.3806 0.2500
Zn 0.6718 0.3282 0.7500

Values from the calculation:
Its formation energy is -24.4 kJ/mol of atoms. The total energy is -4.44 eV/atom.


Record 4
A plane-wave DFT calculation with PBE was carried out for an optimized crystal structure of ZrZn3.

a b c (Å): 5.6537 5.6537 6.4566
angles (deg): 110.48 110.48 45.52
Element x y z (fractional)
Zr 0.1312 0.1312 0.4311
Zr 0.8688 0.8688 0.5689
Zn 0.1320 0.1320 0.9326
Zn 0.3718 0.3718 0.8509
Zn 0.3984 0.3984 0.3010
Zn 0.6016 0.6016 0.6990
Zn 0.6282 0.6282 0.1491
Zn 0.8680 0.8680 0.0674

Values from the calculation:
Its formation energy is -11.0 kJ/mol of atoms. The total energy is -3.21 eV/atom.


Record 5
A plane-wave DFT calculation with PBE was carried out for an optimized crystal structure of Zr17Zn12.

a b c (Å): 9.0144 9.0144 9.0144
angles (deg): 109.47 109.47 109.47
Element x y z (fractional)
Zr 0.0000 0.0000 0.0000
Zr 0.0000 0.0000 0.6605
Zr 0.0000 0.4018 0.6879
Zr 0.0000 0.6605 0.0000
Zr 0.0000 0.6879 0.4018
Zr 0.2860 0.5982 0.5982
Zr 0.3121 0.3121 0.7140
Zr 0.3121 0.7140 0.3121
Zr 0.3395 0.3395 0.3395
Zr 0.4018 0.0000 0.6879
Zr 0.4018 0.6879 0.0000
Zr 0.5982 0.2860 0.5982
Zr 0.5982 0.5982 0.2860
Zr 0.6605 0.0000 0.0000
Zr 0.6879 0.0000 0.4018
Zr 0.6879 0.4018 0.0000
Zr 0.7140 0.3121 0.3121
Zn 0.0000 0.1873 0.3629
Zn 0.0000 0.3629 0.1873
Zn 0.1756 0.8127 0.8127
Zn 0.1873 0.0000 0.3629
Zn 0.1873 0.3629 0.0000
Zn 0.3629 0.0000 0.1873
Zn 0.3629 0.1873 0.0000
Zn 0.6371 0.6371 0.8244
Zn 0.6371 0.8244 0.6371
Zn 0.8127 0.1756 0.8127
Zn 0.8127 0.8127 0.1756
Zn 0.8244 0.6371 0.6371

Values from the calculation:
Its formation energy is -14.6 kJ/mol of atoms. The total energy is -5.69 eV/atom.


Record 6
A plane-wave DFT calculation with PBE was carried out for an optimized crystal structure of Zr3Zn5.

a b c (Å): 8.0779 8.0779 5.3727
angles (deg): 90.00 90.00 120.00
Element x y z (fractional)
Zr 0.0000 0.4106 0.2500
Zr 0.0000 0.5894 0.7500
Zr 0.4106 0.0000 0.2500
Zr 0.4106 0.4106 0.7500
Zr 0.5894 0.0000 0.7500
Zr 0.5894 0.5894 0.2500
Zn 0.0000 0.2138 0.7500
Zn 0.0000 0.7862 0.2500
Zn 0.2138 0.0000 0.7500
Zn 0.2138 0.2138 0.2500
Zn 0.3333 0.6667 0.0000
Zn 0.3333 0.6667 0.5000
Zn 0.6667 0.3333 0.0000
Zn 0.6667 0.3333 0.5000
Zn 0.7862 0.0000 0.2500
Zn 0.7862 0.7862 0.7500

Values from the calculation:
Its formation energy is 1.0 kJ/mol of atoms. The distance to the lowest polymorph of the same formula comes out at 272 meV per atom. The total energy is -3.99 eV/atom.


Record 7
A plane-wave DFT calculation with PBE was carried out for an optimized crystal structure of Zr4Zn.

a b c (Å): 5.4254 5.4254 5.4254
angles (deg): 99.24 99.24 132.75
Element x y z (fractional)
Zr 0.1143 0.6940 0.8083
Zr 0.3060 0.1143 0.4203
Zr 0.6940 0.8857 0.5797
Zr 0.8857 0.3060 0.1917
Zn 0.5000 0.5000 0.0000

Values from the calculation:
Its formation energy is -5.6 kJ/mol of atoms. The distance to the lowest polymorph of the same formula comes out at 0 meV per atom. The total energy is -7.15 eV/atom.


Record 8
A plane-wave DFT calculation with PBE was carried out for an optimized crystal structure of Zr5Zn6.

a b c (Å): 7.8728 7.8728 4.6454
angles (deg): 106.95 106.95 50.33
Element x y z (fractional)
Zr 0.0000 0.0000 0.0000
Zr 0.1541 0.1541 0.6541
Zr 0.3023 0.3023 0.3023
Zr 0.6977 0.6977 0.6977
Zr 0.8459 0.8459 0.3459
Zn 0.1534 0.5596 0.8560
Zn 0.3013 0.6987 0.5000
Zn 0.4404 0.8466 0.1440
Zn 0.5596 0.1534 0.8560
Zn 0.6987 0.3013 0.5000
Zn 0.8466 0.4404 0.1440

Values from the calculation:
Its formation energy is -12.3 kJ/mol of atoms. The total energy is -4.71 eV/atom.